! LiCu4Pd4 | the Alexandria database | PBE | relaxed; values from VASP
&SYSTEM
  ibrav = 0, nat = 9, ntyp = 3
/
ATOMIC_SPECIES
Cu 63.55 Cu.upf
Pd 106.42 Pd.upf
Li 6.94 Li.upf
ATOMIC_POSITIONS crystal
Cu 0.3343 0.0000 0.3314
Pd 0.0000 0.6806 0.3194
Cu 0.6657 0.0000 0.6686
Cu 0.3343 0.3314 0.0000
Cu 0.6657 0.6686 0.0000
Pd 0.6806 0.3194 0.3194
Li 0.0000 0.0000 0.0000
Pd 0.0000 0.3194 0.6806
Pd 0.3194 0.6806 0.6806
CELL_PARAMETERS angstrom
-3.3157 1.3672 -1.5048
-3.1911 -4.5271 -2.1083
-4.1504 0.1209 4.2286
! Uncorrected energy, eV per atom: -4.510
! Spin magnetization, μB per formula unit: 0.0
! Symmetry: I4/mmm, No. 139